First-principles (PBE-GGA) data for an optimized crystal structure of NpB4, as listed in Alexandria via LeMat-Bulk. Values from VASP.

Cell and atoms, written as Quantum ESPRESSO input:
```
&SYSTEM
  ibrav = 0, nat = 5, ntyp = 2
/
ATOMIC_SPECIES
B 10.81 B.upf
Np 237.00 Np.upf
ATOMIC_POSITIONS angstrom
B 2.171 2.171 0.000
B 0.000 0.000 0.000
B 0.000 2.171 2.171
B 2.171 0.000 2.171
Np 2.171 2.171 2.171
CELL_PARAMETERS angstrom
4.342 0.000 0.000
0.000 4.342 0.000
0.000 0.000 4.342
```

## Properties
* E_tot: -24.8 eV/cell